A plane-wave DFT calculation with SCAN was carried out for a crystal of Re2RuRh relaxed with PBEsol.

Geometry as POSCAR:
```
Re2RuRh
1.0
2.711 0.000 0.000
0.000 4.327 0.000
0.000 0.000 4.734
Re Ru Rh
2 1 1
direct
0.000 0.000 0.040
0.000 0.500 0.708
0.500 0.500 0.207
0.500 0.000 0.545
```

Calculated values
Polymorph energy (0 for the lowest one) = 0.0000 eV per atom
Energy = -52.869 eV per atom
Size of the total moment = 0.000 μB per formula unit
SG = Pmm2, No. 25
Energy of formation from the pure elements = -171 meV/atom